TlVTe3 after structural relaxation. Source: the Alexandria database, functional PBE-GGA.

Structure (POSCAR):
```
TlVTe3
1.0
5.290 0.000 -0.039
0.000 5.284 0.000
-0.475 0.000 10.833
Te Tl V
6 2 2
direct
0.991 0.750 0.421 Te
0.497 0.250 0.383 Te
0.503 0.750 0.617 Te
0.009 0.250 0.579 Te
0.591 0.250 0.889 Te
0.409 0.750 0.111 Te
0.011 0.750 0.848 Tl
0.989 0.250 0.152 Tl
0.515 0.250 0.651 V
0.485 0.750 0.349 V
```

Output
Its density is 7.0 g/cm³. The formation energy (no corrections) comes out at -0.124 eV per atom.


Tl4VTe5 after structural relaxation. Source: the Alexandria database, functional PBE-GGA.

Structure (POSCAR):
```
Tl4VTe5
1.0
-0.449 7.624 -1.727
1.035 -6.083 -4.820
-7.292 -1.355 2.510
Tl Te V
4 5 1
direct
0.200 0.423 0.599 Tl
0.824 0.600 0.401 Tl
0.600 0.200 0.776 Tl
0.423 0.824 0.224 Tl
0.241 0.092 0.340 Te
0.752 0.902 0.660 Te
0.902 0.241 0.149 Te
0.092 0.752 0.851 Te
0.541 0.541 0.000 Te
0.916 0.916 0.000 V
```

Output
Its density is 7.4 g/cm³. The formation energy (no corrections) comes out at -0.224 eV per atom.


Tl2VTe5 after structural relaxation. Source: the Alexandria database, functional PBE-GGA.

Structure (POSCAR):
```
Tl2VTe5
1.0
6.063 0.084 0.052
0.117 8.211 0.370
-3.025 -3.814 6.789
Tl Te V
2 5 1
direct
0.688 0.160 0.415 Tl
0.192 0.667 0.393 Tl
0.294 0.789 0.048 Te
0.778 0.832 0.578 Te
0.780 0.276 0.079 Te
0.795 0.800 0.068 Te
0.275 0.271 0.041 Te
0.974 0.982 0.932 V
```

Output
Its density is 5.2 g/cm³. The formation energy (no corrections) comes out at -0.126 eV per atom.


TlVTe after structural relaxation. Source: the Alexandria database, functional PBE-GGA.

Structure (POSCAR):
```
TlVTe
1.0
-3.041 0.673 1.985
-1.949 -2.194 -2.242
2.454 -9.216 6.885
Te Tl V
2 2 2
direct
0.500 0.000 0.667 Te
0.000 0.500 0.333 Te
0.500 0.000 0.100 Tl
0.000 0.500 0.900 Tl
0.500 0.500 0.500 V
0.000 0.000 0.500 V
```

Output
Its density is 7.9 g/cm³. The formation energy (no corrections) comes out at -0.108 eV per atom.


TlV2ZnTe after structural relaxation. Source: the Alexandria database, functional PBE-GGA.

Structure (POSCAR):
```
TlV2ZnTe
1.0
-1.661 -4.600 0.899
3.608 -1.934 -3.231
3.183 -0.407 3.798
Te V Zn Tl
1 2 1 1
direct
0.000 0.500 0.000 Te
0.000 0.000 0.500 V
0.500 0.000 0.000 V
0.000 0.000 0.000 Zn
0.500 0.500 0.500 Tl
```

Output
Its density is 6.4 g/cm³. The formation energy (no corrections) comes out at 0.995 eV per atom.


ZrTl3V2Te6 after structural relaxation. Source: the Alexandria database, functional PBE-GGA.

Structure (POSCAR):
```
ZrTl3V2Te6
1.0
-5.526 -3.421 -2.683
5.739 1.052 -3.924
2.980 -4.918 9.319
Te Tl V Zr
6 3 2 1
direct
0.192 0.539 0.192 Te
0.845 0.845 0.193 Te
0.155 0.155 0.807 Te
0.808 0.461 0.808 Te
0.461 0.808 0.808 Te
0.539 0.192 0.192 Te
0.167 0.833 0.500 Tl
0.500 0.500 0.500 Tl
0.833 0.167 0.500 Tl
0.334 0.666 0.000 V
0.666 0.334 0.000 V
0.000 0.000 0.000 Zr
```

Output
Its density is 7.3 g/cm³. The formation energy (no corrections) comes out at -0.420 eV per atom.


TlTeW2 after structural relaxation. Source: the Alexandria database, functional PBE-GGA.

Structure (POSCAR):
```
TlTeW2
1.0
-3.578 2.166 2.232
-1.223 4.416 -1.213
-4.083 0.788 -2.276
Te Tl W
1 1 2
direct
0.000 0.000 0.000 Te
0.500 0.500 0.500 Tl
0.250 0.250 0.250 W
0.750 0.750 0.750 W
```

Output
Its density is 15.4 g/cm³. The formation energy (no corrections) comes out at 1.116 eV per atom.


TlTeW after structural relaxation. Source: the Alexandria database, functional PBE-GGA.

Structure (POSCAR):
```
TlTeW
1.0
8.772 0.034 -0.024
8.001 3.025 -0.019
0.771 -1.070 2.793
W Te Tl
1 1 1
direct
0.342 0.342 0.658 W
0.970 0.970 0.030 Te
0.687 0.687 0.313 Tl
```

Output
Its density is 11.7 g/cm³. The formation energy (no corrections) comes out at 0.774 eV per atom.


TlTeW2 after structural relaxation. Source: the Alexandria database, functional PBE-GGA.

Structure (POSCAR):
```
TlTeW2
1.0
-0.822 1.533 -2.766
-3.109 -0.915 0.417
-1.490 7.052 4.352
Tl Te W
1 1 2
direct
0.500 0.500 0.805 Tl
0.000 0.000 0.424 Te
0.500 0.500 0.218 W
0.000 0.000 0.054 W
```

Output
Its density is 12.9 g/cm³. The formation energy (no corrections) comes out at 0.499 eV per atom.


Tl2TeW after structural relaxation. Source: the Alexandria database, functional PBE-GGA.

Structure (POSCAR):
```
Tl2TeW
1.0
5.777 -0.032 0.000
-1.961 5.434 0.000
0.000 0.000 3.037
Tl Te W
2 1 1
direct
0.500 0.500 0.000 Tl
0.000 0.000 0.000 Tl
0.000 0.500 0.500 Te
0.500 0.000 0.500 W
```

Output
Its density is 12.6 g/cm³. The formation energy (no corrections) comes out at 0.947 eV per atom.


TlTeW2 after structural relaxation. Source: the Alexandria database, functional PBE-GGA.

Structure (POSCAR):
```
TlTeW2
1.0
6.481 -0.009 -0.006
3.907 5.170 0.006
-4.707 -3.561 2.677
W Tl Te
2 1 1
direct
0.234 0.734 0.500 W
0.070 0.070 0.000 W
0.735 0.235 0.500 Tl
0.461 0.461 0.000 Te
```

Output
Its density is 12.9 g/cm³. The formation energy (no corrections) comes out at 0.867 eV per atom.


Tl2TeW after structural relaxation. Source: the Alexandria database, functional PBE-GGA.

Structure (POSCAR):
```
Tl2TeW
1.0
-1.956 -0.717 -2.571
-0.749 -2.912 1.381
-7.245 3.957 4.407
Te W Tl
1 1 2
direct
0.500 0.376 0.675 Te
0.000 0.876 0.515 W
0.000 0.873 0.015 Tl
0.500 0.375 0.295 Tl
```

Output
Its density is 11.7 g/cm³. The formation energy (no corrections) comes out at 0.419 eV per atom.


Repeat the fifth record exactly.
TlV2ZnTe after structural relaxation. Source: the Alexandria database, functional PBE-GGA.

Structure (POSCAR):
```
TlV2ZnTe
1.0
-1.661 -4.600 0.899
3.608 -1.934 -3.231
3.183 -0.407 3.798
Te V Zn Tl
1 2 1 1
direct
0.000 0.500 0.000 Te
0.000 0.000 0.500 V
0.500 0.000 0.000 V
0.000 0.000 0.000 Zn
0.500 0.500 0.500 Tl
```

Output
Its density is 6.4 g/cm³. The formation energy (no corrections) comes out at 0.995 eV per atom.


What did the tenth record say?
Tl2TeW after structural relaxation. Source: the Alexandria database, functional PBE-GGA.

Structure (POSCAR):
```
Tl2TeW
1.0
5.777 -0.032 0.000
-1.961 5.434 0.000
0.000 0.000 3.037
Tl Te W
2 1 1
direct
0.500 0.500 0.000 Tl
0.000 0.000 0.000 Tl
0.000 0.500 0.500 Te
0.500 0.000 0.500 W
```

Output
Its density is 12.6 g/cm³. The formation energy (no corrections) comes out at 0.947 eV per atom.